# 1
This record from the Alexandria database describes a relaxed structure of RbNp2Ag2S6. The functional is PBE.

Unit cell a=7.178 b=7.974 c=8.067 alpha=125.30 beta=91.34 gamma=60.86
Fractional positions:
1 Ag 0.206 0.731 0.791
2 Ag 0.794 0.269 0.209
3 S 0.986 0.438 0.160
4 S 0.414 0.765 0.048
5 S 0.586 0.235 0.952
6 S 0.186 0.842 0.563
7 S 0.814 0.158 0.437
8 S 0.014 0.562 0.840
9 Np 0.834 0.336 0.834
10 Np 0.166 0.664 0.166
11 Rb 0.500 0.000 0.500

Results
total energy	-6.0852	eV per atom


# 2
This record from the Alexandria database describes a relaxed structure of BaSbO3F. The functional is PBE.

Unit cell a=5.102 b=8.457 c=7.516 alpha=55.77 beta=75.67 gamma=63.90
Fractional positions:
1 F 0.750 0.432 0.136
2 F 0.250 0.568 0.864
3 Sb 0.250 0.935 0.129
4 Sb 0.750 0.065 0.871
5 O 0.542 0.890 0.914
6 O 0.250 0.785 0.431
7 O 0.458 0.110 0.086
8 O 0.042 0.804 0.086
9 O 0.958 0.196 0.914
10 O 0.750 0.215 0.569
11 Ba 0.750 0.633 0.734
12 Ba 0.250 0.367 0.266

Results
total energy	-5.9077	eV per atom


# 3
This record from the Alexandria database describes a relaxed structure of LiCuTe2Se. The functional is PBE.

Unit cell a=5.528 b=5.528 c=4.589 alpha=90.00 beta=90.00 gamma=90.00
Fractional positions:
1 Li 0.000 0.000 0.500
2 Se 0.000 0.000 0.000
3 Cu 0.500 0.500 0.500
4 Te 0.000 0.500 0.000
5 Te 0.500 0.000 0.000

Results
total energy	-2.8518	eV per atom


| no. | total magnetization (μB per formula unit) | formation energy without anion corrections (eV/atom) |
| --- | --- | --- |
| 1 | 5.0 | -0.875 |
| 2 | 0.0 | -2.109 |
| 3 | 0.0 | 0.304 |